[1]
Below is crystalline Al2Ni at its relaxed geometry, with properties calculated at the PBE level.

Structure (extended XYZ):
```
6
Lattice="-1.3836 1.3836 11.1633 1.3836 -1.3836 11.1633 1.3836 1.3836 -11.1633" Properties=species:S:1:pos:R:3 pbc="T T T"
Al 1.3836 0.6918 1.2247
Al 1.3836 0.6918 4.3570
Al 0.0000 0.6918 6.8064
Al 0.0000 0.6918 9.9386
Ni 1.3836 -0.6918 8.3725
Ni 0.0000 2.0755 2.7908
```

Properties
Formation enthalpy at 0 K   -37.08 kJ/mol of atoms
Mass density   4.377 Mg/m³
Space-group type   I4_1/amd
Electronic total energy   -4.8065 eV/atom



[2]
Below is crystalline La3Ge2Ru at its relaxed geometry, with properties calculated at the PBE level.

Structure (extended XYZ):
```
24
Lattice="12.3912 0.0000 0.0000 0.0000 4.4398 0.0000 0.0000 0.0000 11.6191" Properties=species:S:1:pos:R:3 pbc="T T T"
La 0.7374 1.1100 1.4201
La 1.4568 3.3299 6.3968
La 2.7615 1.1100 9.2100
La 3.4341 3.3299 3.4004
La 4.7388 1.1100 0.5872
La 5.4582 3.3299 7.2297
La 6.9330 1.1100 4.3894
La 7.6524 3.3299 11.0319
La 8.9571 1.1100 8.2187
La 9.6297 3.3299 2.4091
La 10.9344 1.1100 5.2223
La 11.6538 3.3299 10.1990
Ge 0.2134 3.3299 3.5895
Ge 2.4999 3.3299 11.4838
Ge 3.6957 1.1100 5.6743
Ge 5.9822 1.1100 9.3991
Ge 6.4090 3.3299 2.2200
Ge 8.6955 3.3299 5.9448
Ge 9.8913 1.1100 0.1353
Ge 12.1778 1.1100 8.0296
Ru 1.5422 1.1100 4.1023
Ru 4.6534 3.3299 9.9118
Ru 7.7378 1.1100 1.7073
Ru 10.8490 3.3299 7.5168
```

Properties
Formation enthalpy at 0 K   -68.60 kJ/mol of atoms
Mass density   6.890 Mg/m³
Space-group type   Pnma
Electronic total energy   -6.2598 eV/atom



[3]
Below is crystalline Be2AgTeOs at its relaxed geometry, with properties calculated at the PBE level.

Structure (extended XYZ):
```
5
Lattice="4.1785 0.0000 0.0000 0.0000 4.1785 0.0000 0.0000 0.0000 5.3406" Properties=species:S:1:pos:R:3 pbc="T T T"
Be 0.0000 2.0893 0.0000
Be 2.0893 0.0000 0.0000
Ag 0.0000 0.0000 0.0000
Te 0.0000 0.0000 2.6703
Os 2.0893 2.0893 2.6703
```

Properties
Mass density   7.902 Mg/m³
Space-group type   P4/mmm
Formation energy (no corrections)   36.4 kcal/mol of atoms
Electronic total energy   -3.3573 eV/atom